# 1
The following is a DFT calculation (GGA-PBE) of a geometry-optimized AlZnGa2Se6 structure.

```
data_AlZnGa2Se6
_symmetry_space_group_name_H-M 'P 1'
_symmetry_Int_Tables_number 1
_cell_length_a 9.593
_cell_length_b 9.593
_cell_length_c 6.699
_cell_angle_alpha 109.50
_cell_angle_beta 109.50
_cell_angle_gamma 91.51
loop_
_symmetry_equiv_pos_as_xyz
'x,y,z'
loop_
_atom_site_label
_atom_site_fract_x
_atom_site_fract_y
_atom_site_fract_z
Al1 0.174 0.826 0.750
Al2 0.826 0.174 0.250
Zn1 0.183 0.817 0.250
Zn2 0.817 0.183 0.750
Ga1 0.223 0.399 0.755
Ga2 0.399 0.223 0.255
Ga3 0.601 0.777 0.745
Ga4 0.777 0.601 0.245
Se1 0.029 0.182 0.596
Se2 0.107 0.626 0.865
Se3 0.182 0.029 0.096
Se4 0.342 0.446 0.510
Se5 0.374 0.893 0.635
Se6 0.446 0.342 0.010
Se7 0.554 0.658 0.990
Se8 0.626 0.107 0.365
Se9 0.658 0.554 0.490
Se10 0.818 0.971 0.904
Se11 0.893 0.374 0.135
Se12 0.971 0.818 0.404
```

# 2
The following is a DFT calculation (GGA-PBE) of a geometry-optimized AlZnGaSe4 structure.

```
data_AlZnGaSe4
_symmetry_space_group_name_H-M 'P 1'
_symmetry_Int_Tables_number 1
_cell_length_a 6.911
_cell_length_b 6.911
_cell_length_c 6.911
_cell_angle_alpha 133.03
_cell_angle_beta 133.03
_cell_angle_gamma 68.60
loop_
_symmetry_equiv_pos_as_xyz
'x,y,z'
loop_
_atom_site_label
_atom_site_fract_x
_atom_site_fract_y
_atom_site_fract_z
Al1 0.000 0.000 0.000
Zn1 0.250 0.750 0.500
Ga1 0.500 0.500 0.000
Se1 0.102 0.606 0.967
Se2 0.394 0.361 0.495
Se3 0.639 0.135 0.033
Se4 0.865 0.898 0.505
```

| no. | E_form (uncorrected) (eV per formula unit) | spin magnetization (Bohr magnetons per cell) |
| --- | --- | --- |
| 1 | -5.182 | 0.000 |
| 2 | -5.123 | 0.000 |